DFT (PBE) results for a geometry-optimized Mg2Ag structure.

The value obtained for the energy of formation from the pure elements is -0.060 eV/atom. Its density of states at the Fermi level is 1.101 states/eV per cell. The mass density comes out at 3.74 Mg/m³.

The space group is P4/mmm (No. 123) and the conventional cell measures 4.740, 4.740 and 3.095 Å, with angles of 90.00, 90.00 and 90.00 degrees. Symmetry generates all atoms from Mg at (0.000, 0.500, 0.000) and Ag at (0.000, 0.000, 0.500).